(1)
19
Lattice="-3.4663 4.5259 5.9168 -7.0467 -1.6294 -3.8981 0.0589 -6.9701 4.3498" Properties=species:S:1:pos:R:3 comment="Tl6Hg12Au | the Alexandria database | PBE | optimized geometry" ef_ev_per_atom=0.0132 pbc="T T T"
Tl -8.5290 -0.1009 1.8316
Tl -4.7227 1.9534 3.7353
Tl -5.6381 -2.7682 -0.7877
Tl -1.9251 -3.9728 4.5368
Tl -5.7314 -6.0271 2.6331
Tl -4.8160 -1.3056 7.1561
Hg -6.6372 -0.6416 4.5578
Hg -7.1716 -3.0271 2.1546
Hg -5.2275 -3.7493 4.8841
Hg -3.8169 -3.4321 1.8106
Hg -3.2825 -1.0466 4.2138
Hg -5.2266 -0.3244 1.4843
Hg -0.9794 -2.5536 1.1575
Hg -7.5294 -3.9284 6.8636
Hg -9.0797 -4.7157 3.8152
Hg -9.4747 -1.5201 5.2109
Hg -2.9247 -0.1453 -0.4952
Hg -1.3744 0.6420 2.5532
Au 0.0000 0.0000 0.0000


(2)
10
Lattice="4.0469 0.0000 0.0000 -2.0234 3.5047 0.0000 0.0000 0.0000 15.1221" Properties=species:S:1:pos:R:3 comment="Pa2Si2Se | the Alexandria database | PBE | optimized geometry" formation_energy_uncorrected_ev_per_fu=-3.9 pbc="T T T"
Pa 0.0000 0.0000 9.3801
Pa 0.0000 0.0000 1.8190
Pa 0.0000 0.0000 5.7420
Pa 0.0000 0.0000 13.3031
Si 0.0000 2.3365 7.5867
Si 2.0234 1.1682 0.0257
Si 2.0234 1.1682 7.5354
Si 0.0000 2.3365 15.0964
Se 2.0234 1.1682 11.3416
Se 0.0000 2.3365 3.7805


(3)
5
Lattice="4.3995 0.0000 0.0000 0.0000 4.3995 0.0000 0.0000 0.0000 4.3995" Properties=species:S:1:pos:R:3 comment="CrCuTc3 | the Alexandria database | PBE | optimized geometry" ef_ev_per_atom=1.3641 pbc="T T T"
Cr 0.0000 0.0000 0.0000
Tc 0.0000 2.1998 0.0000
Tc 0.0000 0.0000 2.1998
Tc 2.1998 0.0000 0.0000
Cu 2.1998 2.1998 2.1998


(4)
12
Lattice="7.0231 2.1161 -0.4663 -1.7543 7.4745 -0.3122 0.0802 0.0044 6.2863" Properties=species:S:1:pos:R:3 comment="Mg3InPb8 | the Alexandria database | PBE | optimized geometry" ef_ev_per_atom=0.0198 pbc="T T T"
Mg 1.2014 5.6636 -0.3392
Mg 4.1476 3.9313 5.8470
Mg 0.0000 0.0000 0.0000
In 0.0401 0.0022 3.1431
Pb 1.4088 2.5752 4.5967
Pb 2.6361 8.3646 4.2460
Pb 5.5630 6.5630 4.1917
Pb 3.9402 7.0198 0.9111
Pb 2.7129 1.2304 1.2618
Pb -0.2140 3.0320 1.3161
Pb 1.2173 5.6929 2.8058
Pb 4.1317 3.9021 2.7021


(5)
DFT (PBE) results for a relaxed GaH2 crystal.

Structure (extended XYZ):
```
3
Lattice="3.3567 0.0000 0.0175 0.0000 2.8583 0.0000 -0.0174 0.0000 3.3516" Properties=species:S:1:pos:R:3 pbc="T T T"
Ga 0.0000 1.4390 0.0000
H -0.0087 1.9822 1.6758
H 1.6784 0.9057 0.0088
```


(6)
3
Lattice="3.5575 0.0000 0.0000 0.0000 3.5575 0.0000 -1.7788 -1.7788 6.1427" Properties=species:S:1:pos:R:3 comment="EuScGa | the Alexandria database | PBE | optimized geometry" ef_ev_per_atom=-0.2948 pbc="T T T"
Eu 0.0000 0.0000 0.2071
Sc 0.0000 0.0000 3.6351
Ga 1.7788 1.7788 2.3005


(7)
8
Lattice="4.0516 0.0000 0.0000 0.0000 7.0560 0.1407 0.0000 -2.4469 6.6282" Properties=species:S:1:pos:R:3 comment="DyEr2PuSe4 | the Alexandria database | PBE | optimized geometry" formation_energy_uncorrected_ev_per_fu=-13.5 pbc="T T T"
Dy 0.0000 0.0000 0.0000
Er 2.0258 -1.2235 3.3141
Er 0.0000 2.3045 3.3845
Pu 2.0258 3.5280 0.0704
Se 2.0258 1.1351 1.7272
Se 2.0258 3.4740 5.0418
Se 0.0000 -0.0869 4.9599
Se 0.0000 4.6960 1.8090


(8)
6
Lattice="5.6923 0.0000 0.0000 2.8461 4.9194 0.2860 2.8461 1.0990 9.5477" Properties=species:S:1:pos:R:3 comment="Sr4MgGa | the Alexandria database | PBE | optimized geometry" ef_ev_per_atom=-0.0265 pbc="T T T"
Sr 5.6923 3.2255 1.1305
Sr 5.6923 2.7928 8.7031
Sr 2.8461 1.2851 6.2951
Sr 8.5384 4.7332 3.5386
Mg 5.6923 3.0092 4.9168
Ga 0.0000 0.0000 0.0000


(9)
12
Lattice="-6.6881 2.0026 1.9036 1.3182 -2.2533 -6.7491 0.3345 -6.6531 3.5819" Properties=species:S:1:pos:R:3 comment="Sm6Te3PS2 | the Alexandria database | PBE | optimized geometry" formation_energy_uncorrected_ev_per_fu=-20.2 pbc="T T T"
Sm -5.1684 -4.7628 0.5557
Sm -3.9011 -1.5647 -2.8401
Sm 0.1329 -2.1410 -1.8193
Sm -2.5263 -6.1672 -2.2996
Sm -1.1343 -5.3390 1.5765
Sm -2.5091 -0.7365 1.0360
Te 0.1483 -4.8690 -3.5130
Te -5.1837 -2.0347 2.2494
Te -2.5177 -3.4519 -0.6318
P 0.0000 0.0000 0.0000
S -1.3511 -0.8344 -3.8643
S -4.0189 0.5837 -0.9811


(10)
4
Lattice="3.6928 0.0000 0.0000 1.8464 3.1981 0.0000 1.8464 1.0660 8.6128" Properties=species:S:1:pos:R:3 comment="Sr2PdN | the Alexandria database | PBE | optimized geometry" formation_energy_uncorrected_ev_per_fu=-0.9 pbc="T T T"
Sr 1.8464 1.0660 5.7098
Sr 5.5393 3.1981 2.9030
Pd 0.0000 0.0000 0.0000
N 3.6928 2.1321 4.3064


(11)
10
Lattice="3.2313 0.0000 0.0000 -1.6156 5.9632 -1.1167 0.0000 -0.4262 6.6324" Properties=species:S:1:pos:R:3 comment="ScNbO3 | the Alexandria database | PBE | optimized geometry" formation_energy_uncorrected_ev_per_fu=-13.2 pbc="T T T"
Sc 0.0000 1.0506 5.6831
Sc 1.6156 4.4864 -0.1673
Nb 0.0000 3.7442 3.3984
Nb 1.6156 1.7928 2.1173
O 1.6156 5.0441 4.1407
O 0.0000 0.4928 1.3750
O 1.6156 2.0943 0.0034
O 0.0000 3.4427 5.5123
O 1.6156 3.9178 1.8534
O 0.0000 1.6192 3.6623


(12)
4
Lattice="2.9126 0.0000 0.0000 0.0000 3.2664 0.0000 0.0000 0.0000 5.8251" Properties=species:S:1:pos:R:3 comment="CuP2Ir | the Alexandria database | PBE | optimized geometry" ef_ev_per_atom=0.2087 pbc="T T T"
Cu 1.4563 1.6332 1.4563
Ir 1.4563 1.6332 4.3688
P 0.0000 0.0000 5.7558
P 0.0000 0.0000 2.9819


(13)
4
Lattice="5.4773 0.0184 0.0000 2.7884 4.7145 0.0000 -4.1329 -2.3664 2.7057" Properties=species:S:1:pos:R:3 comment="YRe2Si | the Alexandria database | PBE | optimized geometry" formation_energy_uncorrected_ev_per_fu=1.5 pbc="T T T"
Re 0.0000 0.0000 0.0000
Re 4.1329 2.3664 0.0000
Si 1.3942 2.3572 1.3529
Y 2.7387 0.0092 1.3529


(14)
20
Lattice="8.9506 -2.0951 -2.1743 0.8819 8.6187 -1.0330 0.8819 -1.3517 8.5744" Properties=species:S:1:pos:R:3 comment="La6SmEr2Mg | the Alexandria database | PBE | optimized geometry" ef_ev_per_atom=0.0925 pbc="T T T"
La 1.4652 -0.4912 6.1293
La 4.7740 0.0760 6.7180
La 9.2493 5.6630 -0.7622
La 5.9405 5.0958 -1.3508
La 3.3717 -1.0092 3.1510
La 2.8675 3.0331 7.3460
La 7.3428 6.1810 2.2162
La 7.8470 2.1387 -1.9789
La 1.8815 5.0475 2.8600
La 4.3577 3.5484 1.3043
La 8.8330 0.1243 2.5072
La 6.3568 1.6234 4.0629
Sm 3.1196 7.4075 -0.9142
Sm 7.5949 -2.2357 6.2814
Er 4.9771 5.0710 4.5966
Er 1.2621 1.8138 1.2164
Er 5.7374 0.1008 0.7705
Er 9.4524 3.3580 4.1507
Mg 3.1196 2.1540 4.1481
Mg 7.5949 3.0178 1.2191


(15)
8
Lattice="-2.6756 -1.8077 9.1871 -6.9348 -6.0374 -3.2076 -3.3259 -5.6681 3.0771" Properties=species:S:1:pos:R:3 comment="Na2NiMo | the Alexandria database | PBE | optimized geometry" ef_ev_per_atom=1.2182 pbc="T T T"
Ni -4.8052 -3.9225 2.9898
Ni -7.5329 -7.8140 1.4297
Mo 0.0000 0.0000 0.0000
Mo -5.4034 -5.6992 7.6270
Na -3.0446 -3.0813 4.9910
Na -5.8261 -5.6366 1.0322
Na -6.9432 -7.9285 4.1594
Na -10.0587 -10.3800 7.9307


(16)
12
Lattice="8.0715 0.0000 0.0000 -4.0357 5.7306 -3.9986 0.0000 0.0957 8.3884" Properties=species:S:1:pos:R:3 comment="MnGe3Br8 | the Alexandria database | PBE | optimized geometry" formation_energy_uncorrected_ev_per_fu=-7.4 pbc="T T T"
Mn 0.0000 0.0000 0.0000
Ge 4.0357 0.0000 0.0000
Ge 2.0179 2.8653 -1.9993
Ge -2.0179 2.8653 -1.9993
Br 0.0000 2.9885 4.3944
Br 4.0357 2.8379 -0.0046
Br 1.9302 0.1242 6.4822
Br 6.1413 0.1242 6.4822
Br 4.0357 3.1135 4.3950
Br 0.0000 2.7129 -0.0052
Br -2.1055 5.7021 -2.0924
Br 2.1055 5.7021 -2.0924


(17)
5
Lattice="-1.7005 2.9368 -0.2472 -1.5472 -0.6467 2.9607 7.3751 6.8568 7.3070" Properties=species:S:1:pos:R:3 comment="TeS2Br2 | the Alexandria database | PBE | optimized geometry" formation_energy_uncorrected_ev_per_fu=1.9 pbc="T T T"
S 2.0254 5.4693 4.2082
S 2.1020 3.6776 5.8122
Te 0.0000 0.0000 0.0000
Br -0.1189 2.1003 2.3519
Br 4.2462 7.0466 7.6686


(18)
7
Lattice="-2.1773 -3.5512 2.5062 3.0393 0.7599 3.7173 -4.6061 4.7907 2.7867" Properties=species:S:1:pos:R:3 comment="SmHg5Pd | the Alexandria database | PBE | optimized geometry" ef_ev_per_atom=-0.2967 pbc="T T T"
Sm 0.0000 0.0000 0.0000
Hg -4.3468 1.6131 3.2243
Hg -1.7385 3.7686 3.8298
Hg 0.4310 -1.3957 3.1117
Hg 0.1716 1.7820 2.6742
Hg -2.4367 -0.3736 2.0686
Pd -2.3031 2.3954 1.3934


(19)
4
Lattice="3.8540 0.0000 0.0000 0.0000 3.8540 0.0000 0.0000 0.0000 7.6716" Properties=species:S:1:pos:R:3 comment="BaGdGa2 | the Alexandria database | PBE | optimized geometry" ef_ev_per_atom=-0.4473 pbc="T T T"
Gd 1.9270 1.9270 0.0000
Ba 1.9270 1.9270 3.8358
Ga 0.0000 0.0000 6.1506
Ga 0.0000 0.0000 1.5210


(20)
16
Lattice="-0.4356 7.0593 -3.7148 0.6223 -3.6789 -7.0641 -7.2764 -2.2995 5.0739" Properties=species:S:1:pos:R:3 comment="Pm5InGe2 | the Alexandria database | PBE | optimized geometry" ef_ev_per_atom=-0.6155 pbc="T T T"
Pm -5.0330 -0.4861 -3.2002
Pm -1.7874 1.4715 -8.4512
Pm 0.0000 0.0000 0.0000
Pm 0.0934 1.6902 -5.3894
Pm -5.3023 -0.3906 2.7462
Pm -5.4166 2.5273 -0.2859
Pm -4.9187 -3.4039 -0.1681
Pm -1.6731 -1.4464 -5.4191
Pm -2.1710 4.4849 -5.5369
Pm -2.0567 1.5670 -2.5048
In -3.4981 1.3856 -5.5472
In -3.5915 -0.3046 -0.1578
Ge 0.1689 -0.3951 -3.0815
Ge -0.1927 3.9843 -3.3072
Ge 0.3794 -0.6039 -7.4716
Ge 0.0179 3.7755 -7.6973


Raw total energy: -20.847; -74.490; -37.997; -36.952; -8.922; -20.517; -55.533; -11.508; -71.601; -17.787; -88.858; -22.942; -35.320; -88.158; -28.756; -43.789; -12.843; -13.498; -23.847; -81.300 (eV/cell)